1.
DFT (PBE) results for a relaxed CsTiHg2Bi crystal.

Cell and atoms, written as extended XYZ:
```
5
Lattice="5.680 0.000 0.000 0.000 5.680 0.000 0.000 0.000 5.454" Properties=species:S:1:pos:R:3 pbc="T T T"
Cs 0.000 0.000 0.000
Ti 2.840 2.840 2.727
Hg 0.000 2.840 2.727
Hg 2.840 0.000 2.727
Bi 2.840 2.840 0.000
```

Calculated values
Energy relative to the elements: -0.0813 eV per atom
Raw total energy: -0.100 Ha/atom
Magnetization: 0.291 μB/atom
Space group: No. 123
Density: 7.464 g/cm³

2.
DFT (PBE) results for a relaxed CsTl2Hg2Bi2 crystal.

Cell and atoms, written as extended XYZ:
```
7
Lattice="2.631 1.519 11.129 -2.631 1.519 11.129 0.000 -3.038 11.129" Properties=species:S:1:pos:R:3 pbc="T T T"
Cs 0.000 0.000 0.000
Tl 0.000 0.000 4.683
Tl 0.000 0.000 28.704
Hg 0.000 0.000 8.188
Hg 0.000 0.000 25.200
Bi 0.000 0.000 14.040
Bi 0.000 0.000 19.347
```

Calculated values
Energy relative to the elements: -0.1057 eV per atom
Raw total energy: -0.077 Ha/atom
Magnetization: 0.000 μB/atom
Space group: No. 166
Density: 8.466 g/cm³

3.
DFT (PBE) results for a relaxed Cs2Tl2HgBi2 crystal.

Cell and atoms, written as extended XYZ:
```
7
Lattice="6.834 -2.946 0.000 6.834 2.946 0.000 -5.936 0.000 7.789" Properties=species:S:1:pos:R:3 pbc="T T T"
Cs -0.954 0.000 2.360
Cs 8.685 0.000 5.429
Tl -0.505 0.000 6.820
Tl 8.236 0.000 0.969
Hg 3.865 0.000 3.894
Bi 3.004 0.000 1.182
Bi 4.727 0.000 6.607
```

Calculated values
Energy relative to the elements: -0.2193 eV per atom
Raw total energy: -0.084 Ha/atom
Magnetization: 0.000 μB/atom
Space group: No. 12
Density: 6.848 g/cm³

4.
DFT (PBE) results for a relaxed CsTl2HgBi crystal.

Cell and atoms, written as extended XYZ:
```
10
Lattice="8.028 0.000 0.000 0.000 5.330 0.000 -1.878 0.000 8.976" Properties=species:S:1:pos:R:3 pbc="T T T"
Cs 0.177 1.332 3.220
Cs 5.973 3.997 5.755
Tl 1.301 3.997 0.625
Tl 2.252 3.997 7.431
Tl 3.898 1.332 1.544
Tl 4.849 1.332 8.351
Hg 2.947 3.997 3.527
Hg 3.202 1.332 5.449
Bi 0.193 1.332 7.707
Bi 5.957 3.997 1.268
```

Calculated values
Energy relative to the elements: -0.1821 eV per atom
Raw total energy: -0.078 Ha/atom
Magnetization: 0.000 μB/atom
Space group: No. 11
Density: 8.226 g/cm³

5.
DFT (PBE) results for a relaxed CsTlHgBi2 crystal.

Cell and atoms, written as extended XYZ:
```
5
Lattice="-2.689 2.730 6.675 2.689 -2.730 6.675 2.689 2.730 -6.675" Properties=species:S:1:pos:R:3 pbc="T T T"
Cs 0.000 0.000 0.000
Tl 2.689 0.000 3.165
Hg 0.000 0.000 8.160
Bi 0.000 0.000 5.018
Bi 0.000 2.730 3.327
```

Calculated values
Energy relative to the elements: -0.1885 eV per atom
Raw total energy: -0.090 Ha/atom
Magnetization: 0.000 μB/atom
Space group: No. 44
Density: 8.098 g/cm³

6.
DFT (PBE) results for a relaxed Cs2TlHg3Bi4 crystal.

Cell and atoms, written as extended XYZ:
```
10
Lattice="5.476 0.000 0.000 0.000 5.476 0.000 0.000 0.000 12.261" Properties=species:S:1:pos:R:3 pbc="T T T"
Cs 0.000 2.738 3.036
Cs 2.738 0.000 9.225
Tl 2.738 2.738 0.000
Hg 0.000 0.000 0.000
Hg 0.000 2.738 7.669
Hg 2.738 0.000 4.592
Bi 0.000 0.000 6.131
Bi 0.000 2.738 10.676
Bi 2.738 0.000 1.585
Bi 2.738 2.738 6.131
```

Calculated values
Energy relative to the elements: -0.1711 eV per atom
Raw total energy: -0.082 Ha/atom
Magnetization: 0.000 μB/atom
Space group: No. 115
Density: 8.617 g/cm³

7.
DFT (PBE) results for a relaxed Cs3Tl2Hg2Bi4 crystal.

Cell and atoms, written as extended XYZ:
```
11
Lattice="5.298 0.000 0.000 -2.649 4.588 0.000 0.000 0.000 20.646" Properties=species:S:1:pos:R:3 pbc="T T T"
Cs 0.000 0.000 0.000
Cs 0.000 0.000 6.014
Cs 0.000 0.000 14.632
Tl 0.000 3.059 3.039
Tl 2.649 1.529 17.606
Hg 0.000 3.059 11.871
Hg 2.649 1.529 8.775
Bi 0.000 3.059 8.758
Bi 0.000 3.059 17.697
Bi 2.649 1.529 2.949
Bi 2.649 1.529 11.888
```

Calculated values
Energy relative to the elements: -0.1379 eV per atom
Raw total energy: -0.083 Ha/atom
Magnetization: 0.000 μB/atom
Space group: No. 164
Density: 6.765 g/cm³

8.
DFT (PBE) results for a relaxed Cs2TlHgBi crystal.

Cell and atoms, written as extended XYZ:
```
5
Lattice="7.624 0.000 0.000 0.000 7.624 0.000 0.000 0.000 6.120" Properties=species:S:1:pos:R:3 pbc="T T T"
Cs 0.000 3.812 0.000
Cs 3.812 0.000 0.000
Tl 0.000 0.000 3.060
Hg 3.812 3.812 3.060
Bi 0.000 0.000 0.000
```

Calculated values
Energy relative to the elements: -0.0935 eV per atom
Raw total energy: -0.064 Ha/atom
Magnetization: 0.000 μB/atom
Space group: No. 123
Density: 4.106 g/cm³